Entry 1:
# PBE AlHgN2F, optimized geometry
data_AlHgN2F
_space_group_name_H-M_alt 'P 4/m m m'
_space_group_IT_number 123
_space_group_name_Hall '-P 4 2'
_cell_length_a 3.953
_cell_length_b 3.953
_cell_length_c 3.713
_cell_angle_alpha 90.00
_cell_angle_beta 90.00
_cell_angle_gamma 90.00
loop_
_atom_site_label
_atom_site_type_symbol
_atom_site_fract_x
_atom_site_fract_y
_atom_site_fract_z
Al1 Al 0.000 0.000 0.000
Hg1 Hg 0.500 0.500 0.500
N1 N 0.000 0.500 0.000
F1 F 0.000 0.000 0.500
# Distance to the lowest polymorph of the same formula (eV per atom): 0.000
# E_form (uncorrected) (eV/atom): -0.096



Entry 2:
# PBE Na2AlHgF8, optimized geometry
data_Na2AlHgF8
_space_group_name_H-M_alt 'P -1'
_space_group_IT_number 2
_space_group_name_Hall '-P 1'
_cell_length_a 5.010
_cell_length_b 5.023
_cell_length_c 6.717
_cell_angle_alpha 88.96
_cell_angle_beta 88.98
_cell_angle_gamma 87.27
loop_
_atom_site_label
_atom_site_type_symbol
_atom_site_fract_x
_atom_site_fract_y
_atom_site_fract_z
Na1 Na 0.001 0.002 0.227
Al1 Al 0.500 0.500 0.000
Hg1 Hg 0.500 0.500 0.500
F1 F 0.201 0.798 0.500
F2 F 0.242 0.758 0.000
F3 F 0.319 0.319 0.195
F4 F 0.327 0.329 0.789
# E_form (uncorrected) (eV/atom): -2.493



Entry 3:
# PBE Na2AlHgF6, optimized geometry
data_Na2AlHgF6
_space_group_name_H-M_alt 'F m -3 m'
_space_group_IT_number 225
_space_group_name_Hall '-F 4 2 3'
_cell_length_a 8.625
_cell_length_b 8.625
_cell_length_c 8.625
_cell_angle_alpha 90.00
_cell_angle_beta 90.00
_cell_angle_gamma 90.00
loop_
_atom_site_label
_atom_site_type_symbol
_atom_site_fract_x
_atom_site_fract_y
_atom_site_fract_z
Na1 Na 0.250 0.250 0.250
Al1 Al 0.000 0.000 0.000
Hg1 Hg 0.000 0.000 0.500
F1 F 0.000 0.000 0.212
# E_form (uncorrected) (eV/atom): -2.542



Entry 4:
# PBE AlHgO2F, optimized geometry
data_AlHgO2F
_space_group_name_H-M_alt 'P 4/m m m'
_space_group_IT_number 123
_space_group_name_Hall '-P 4 2'
_cell_length_a 4.211
_cell_length_b 4.211
_cell_length_c 4.469
_cell_angle_alpha 90.00
_cell_angle_beta 90.00
_cell_angle_gamma 90.00
loop_
_atom_site_label
_atom_site_type_symbol
_atom_site_fract_x
_atom_site_fract_y
_atom_site_fract_z
Al1 Al 0.000 0.000 0.000
Hg1 Hg 0.500 0.500 0.500
O1 O 0.000 0.500 0.500
F1 F 0.500 0.500 0.000
# E_form (uncorrected) (eV/atom): -0.094



Entry 5:
# PBE AlHg3O2F6, optimized geometry
data_AlHg3O2F6
_space_group_name_H-M_alt 'R -3 m'
_space_group_IT_number 166
_space_group_name_Hall '-R 3 2"'
_cell_length_a 7.3467
_cell_length_b 7.3467
_cell_length_c 10.7937
_cell_angle_alpha 90.00
_cell_angle_beta 90.00
_cell_angle_gamma 120.00
loop_
_atom_site_label
_atom_site_type_symbol
_atom_site_fract_x
_atom_site_fract_y
_atom_site_fract_z
Al1 Al 0.0000 0.0000 0.0000
Hg1 Hg 0.0000 0.5000 0.0000
O1 O 0.0000 0.0000 0.3510
F1 F 0.0959 0.5479 0.7632
# E_form (uncorrected) (eV/atom): -1.747



Entry 6:
# PBE AlHgO2F, optimized geometry
data_AlHgO2F
_space_group_name_H-M_alt 'P 4/m m m'
_space_group_IT_number 123
_space_group_name_Hall '-P 4 2'
_cell_length_a 3.848
_cell_length_b 3.848
_cell_length_c 3.700
_cell_angle_alpha 90.00
_cell_angle_beta 90.00
_cell_angle_gamma 90.00
loop_
_atom_site_label
_atom_site_type_symbol
_atom_site_fract_x
_atom_site_fract_y
_atom_site_fract_z
Al1 Al 0.000 0.000 0.000
Hg1 Hg 0.500 0.500 0.500
O1 O 0.000 0.500 0.000
F1 F 0.000 0.000 0.500
# E_form (uncorrected) (eV/atom): -1.806



- E_form (uncorrected) of number 6 (AlHgO2F)?
  -1.806 eV/atom



- E_form (uncorrected) of number 3 (Na2AlHgF6)?
  -2.542 eV/atom